Record 1
Here is a relaxed Pm7Nd3 crystal from Alexandria via LeMat-Bulk. Energies are from PBE-GGA.

Structure (POSCAR):
```
Pm7Nd3
1.0
-6.079 0.035 -2.201
3.790 -0.462 -10.475
-2.080 -9.416 5.596
Pm Nd
14 6
Direct
0.879 0.883 0.766 Pm
0.734 0.529 0.471 Pm
0.234 0.058 0.529 Pm
0.879 0.234 0.117 Pm
0.879 0.883 0.117 Pm
0.983 0.667 0.333 Pm
0.734 0.529 0.058 Pm
0.379 0.117 0.234 Pm
0.234 0.471 0.529 Pm
0.379 0.117 0.883 Pm
0.234 0.471 0.942 Pm
0.379 0.766 0.883 Pm
0.483 0.333 0.667 Pm
0.734 0.942 0.471 Pm
0.362 0.422 0.211 Nd
0.862 0.211 0.422 Nd
0.362 0.789 0.578 Nd
0.362 0.789 0.211 Nd
0.862 0.578 0.789 Nd
0.862 0.211 0.789 Nd
```

The formation enthalpy at 0 K is 0.1677 eV per atom. The polymorph energy (0 for the lowest one) comes out at 156 meV per atom.



Record 2
Here is a relaxed ScP2N2 crystal from Alexandria via LeMat-Bulk. Energies are from PBE-GGA.

Structure (POSCAR):
```
ScP2N2
1.0
-3.884 -4.117 -4.037
4.651 -5.114 0.740
-1.397 -0.938 2.300
P Sc N
4 2 4
Direct
0.850 0.650 0.000 P
0.150 0.350 0.000 P
0.350 0.850 0.000 P
0.650 0.150 0.000 P
0.000 0.000 0.000 Sc
0.500 0.500 0.000 Sc
0.251 0.249 0.500 N
0.751 0.251 0.500 N
0.249 0.749 0.500 N
0.749 0.751 0.500 N
```

The polymorph energy (0 for the lowest one) comes out at 0 meV per atom. The calculation puts the energy relative to the elements, uncorrected at 0.142 eV per atom.



Record 3
Here is a relaxed PuZn6Ga3 crystal from Alexandria via LeMat-Bulk. Energies are from PBE-GGA.

Structure (POSCAR):
```
PuZn6Ga3
1.0
-0.115 -4.831 -5.039
5.400 2.926 -2.929
2.621 -5.261 4.984
Zn Ga Pu
12 6 2
Direct
0.769 0.758 0.263 Zn
0.825 0.171 0.399 Zn
0.471 0.991 0.836 Zn
0.325 0.329 0.101 Zn
0.029 0.491 0.336 Zn
0.675 0.671 0.899 Zn
0.269 0.742 0.237 Zn
0.731 0.258 0.763 Zn
0.971 0.509 0.664 Zn
0.175 0.829 0.601 Zn
0.231 0.242 0.737 Zn
0.529 0.009 0.164 Zn
0.000 0.500 0.000 Ga
0.808 0.852 0.629 Ga
0.500 0.000 0.500 Ga
0.308 0.648 0.871 Ga
0.192 0.148 0.371 Ga
0.692 0.352 0.129 Ga
0.000 0.000 0.000 Pu
0.500 0.500 0.500 Pu
```

The formation enthalpy at 0 K is -0.0772 eV per atom.



Record 4
Here is a relaxed BeBrCl crystal from Alexandria via LeMat-Bulk. Energies are from PBE-GGA.

Structure (POSCAR):
```
BeBrCl
1.0
3.399 0.000 0.000
-1.699 2.944 0.000
0.000 0.000 6.736
Be Cl Br
1 1 1
Direct
0.000 0.000 0.992 Be
0.333 0.667 0.809 Cl
0.667 0.333 0.199 Br
```

The polymorph energy (0 for the lowest one) comes out at 241 meV per atom. The calculation puts the energy relative to the elements, uncorrected at -0.916 eV per atom.



Record 5
Here is a relaxed CaIrW2 crystal from Alexandria via LeMat-Bulk. Energies are from PBE-GGA.

Structure (POSCAR):
```
CaIrW2
1.0
5.081 -0.109 0.133
4.264 2.766 0.133
1.280 0.364 5.363
W Ca Ir
2 1 1
Direct
0.998 0.998 0.995 W
0.718 0.718 0.829 W
0.509 0.509 0.484 Ca
0.275 0.275 0.192 Ir
```

The formation enthalpy at 0 K is 0.4578 eV per atom. The polymorph energy (0 for the lowest one) comes out at 165 meV per atom.



Record 6
Here is a relaxed LiCaNbSe2 crystal from Alexandria via LeMat-Bulk. Energies are from PBE-GGA.

Structure (POSCAR):
```
LiCaNbSe2
1.0
-2.308 4.035 2.158
-1.589 -3.148 4.187
4.327 1.139 2.498
Nb Li Ca Se
1 1 1 2
Direct
0.000 0.000 0.000 Nb
0.500 0.500 0.500 Li
0.000 0.500 0.000 Ca
0.500 0.000 0.000 Se
0.000 0.000 0.500 Se
```

The calculation puts the energy relative to the elements, uncorrected at -0.112 eV per atom.



Record 7
Here is a relaxed BaLaBe crystal from Alexandria via LeMat-Bulk. Energies are from PBE-GGA.

Structure (POSCAR):
```
BaLaBe
1.0
-4.121 2.926 1.592
-4.867 -1.078 -1.798
-3.627 -2.081 3.255
La Ba Be
1 1 1
Direct
0.000 0.000 0.000 La
0.500 0.500 0.500 Ba
0.750 0.750 0.750 Be
```

The formation enthalpy at 0 K is 0.5347 eV per atom. The polymorph energy (0 for the lowest one) comes out at 240 meV per atom.



Record 8
Here is a relaxed KLiOs2O8 crystal from Alexandria via LeMat-Bulk. Energies are from PBE-GGA.

Structure (POSCAR):
```
KLiOs2O8
1.0
-3.947 1.637 -3.281
-3.855 -3.727 -0.529
-4.331 2.955 5.905
O Li K Os
8 1 1 2
Direct
0.723 0.233 0.802 O
0.233 0.723 0.802 O
0.277 0.767 0.198 O
0.767 0.277 0.198 O
0.771 0.771 0.053 O
0.694 0.694 0.423 O
0.229 0.229 0.947 O
0.306 0.306 0.577 O
0.000 0.000 0.000 Li
0.000 0.000 0.500 K
0.629 0.629 0.217 Os
0.371 0.371 0.783 Os
```

The calculation puts the energy relative to the elements, uncorrected at -1.250 eV per atom.



Record 9
Here is a relaxed Pr3Ge2I crystal from Alexandria via LeMat-Bulk. Energies are from PBE-GGA.

Structure (POSCAR):
```
Pr3Ge2I
1.0
-4.557 0.297 1.097
2.222 -7.550 1.223
2.384 2.209 9.308
Pr I Ge
6 2 4
Direct
0.371 0.742 0.538 Pr
0.629 0.258 0.462 Pr
0.371 0.742 0.962 Pr
0.629 0.258 0.038 Pr
0.877 0.753 0.250 Pr
0.123 0.247 0.750 Pr
0.223 0.445 0.250 I
0.777 0.555 0.750 I
0.508 0.017 0.750 Ge
0.000 0.000 0.500 Ge
0.000 0.000 0.000 Ge
0.492 0.983 0.250 Ge
```

The calculation puts the energy relative to the elements, uncorrected at -0.610 eV per atom.



Record 10
Here is a relaxed CaLaDyTm crystal from Alexandria via LeMat-Bulk. Energies are from PBE-GGA.

Structure (POSCAR):
```
CaLaDyTm
1.0
5.810 0.000 0.000
2.905 5.032 0.000
2.905 1.677 4.744
La Dy Ca Tm
1 1 1 1
Direct
0.250 0.250 0.250 La
0.750 0.750 0.750 Dy
0.000 0.000 0.000 Ca
0.500 0.500 0.500 Tm
```

The formation enthalpy at 0 K is 0.1290 eV per atom.



Record 11
Here is a relaxed CdAsBr2 crystal from Alexandria via LeMat-Bulk. Energies are from PBE-GGA.

Structure (POSCAR):
```
CdAsBr2
1.0
3.611 0.000 0.000
0.000 6.471 0.000
0.000 0.000 4.442
Cd As Br
1 1 2
Direct
0.500 0.000 0.500 Cd
0.000 0.500 0.500 As
0.000 0.000 0.000 Br
0.500 0.500 0.000 Br
```

The polymorph energy (0 for the lowest one) comes out at 350 meV per atom. The calculation puts the energy relative to the elements, uncorrected at 0.072 eV per atom.



Record 12
Here is a relaxed ZnSiAg2 crystal from Alexandria via LeMat-Bulk. Energies are from PBE-GGA.

Structure (POSCAR):
```
ZnSiAg2
1.0
-0.603 3.294 0.871
-0.129 -0.906 3.337
5.461 0.880 0.451
Ag Si Zn
2 1 1
Direct
0.000 0.000 0.985 Ag
0.500 0.500 0.268 Ag
0.000 0.000 0.500 Si
0.500 0.500 0.747 Zn
```

The polymorph energy (0 for the lowest one) comes out at 37 meV per atom. The calculation puts the energy relative to the elements, uncorrected at 0.165 eV per atom.



The following magnetization values (in μB/cell) correspond, in order, to the records above: 0.00 0.00 11.58 0.00 0.00 0.00 0.00 2.04 0.00 0.00 0.00 0.00.